## Rb8N3O (PBE-GGA)

Data for a relaxed structure of Rb8N3O.

Calculated total energy ... -2.805 eV per atom
V ... 29.826 Å³/atom

Lattice parameters (Å, degrees): 7.1000 7.1000 7.1000 90.00 90.00 90.00
With the nearest neighbours (Å) after each atom.
Space group Pm-3m (No. 221)
Unique sites:
Rb 0.2483 0.2483 0.2483 x8  1 O 3.05, 3 N 3.08
N 0.0000 0.5000 0.5000 x3  8 Rb 3.08
O 0.0000 0.0000 0.0000 x1  8 Rb 3.05